[1]
The following is a PBE calculation of LaCr3Ir after structural relaxation, from Alexandria via LeMat-Bulk.

Summary:
Calculated volume, A^3/atom: 21.96
Energy above the lowest structure with this stoichiometry, meV per atom: 0
E_tot, eV/cell: -39.23
Density of states at the Fermi level, states/eV/f.u.: 6.71
Calculated formation energy, eV per atom: 0.69
SG: Pm-3m, No. 221
Magnetization, μB per cell: 9.00

Cell lengths 4.789, 4.789, 4.789 Å; angles 90.00, 90.00, 90.00 degrees
Each line ends with the local moment (μB).
Positions (direct):
Cr  0.000  0.000  0.500  2.73
Cr  0.500  0.000  0.000  3.09
Cr  0.000  0.500  0.000  3.04
La  0.500  0.500  0.500  -0.07
Ir  0.000  0.000  0.000  -0.29

---

[2]
The following is a PBE calculation of PtWAu2 after structural relaxation, from Alexandria via LeMat-Bulk.

Summary:
Calculated volume, A^3/atom: 16.64
Energy above the lowest structure with this stoichiometry, meV per atom: 182
E_tot, eV/cell: -24.82
Density of states at the Fermi level, states/eV/f.u.: 2.69
Calculated formation energy, eV per atom: 0.18
SG: C2/m, No. 12
Magnetization, μB per cell: 0.00

Cell lengths 4.984, 4.984, 4.992 Å; angles 81.91, 81.91, 32.88 degrees
Positions (direct):
Pt  0.750  0.750  0.750
Au  0.505  0.505  0.494
Au  0.995  0.995  0.006
W  0.250  0.250  0.250

---

[3]
The following is a PBE calculation of NaCoRu after structural relaxation, from Alexandria via LeMat-Bulk.

Summary:
Calculated volume, A^3/atom: 15.17
Energy above the lowest structure with this stoichiometry, meV per atom: 333
E_tot, eV/cell: -62.06
Density of states at the Fermi level, states/eV/f.u.: 4.06
Calculated formation energy, eV per atom: 0.73
SG: Pnma, No. 62
Magnetization, μB per cell: 8.53

Cell lengths 5.210, 4.213, 8.291 Å; angles 90.00, 90.00, 90.00 degrees
Each line ends with the local moment (μB).
Positions (direct):
Na  0.404  0.250  0.941  -0.01
Na  0.096  0.750  0.441  -0.01
Na  0.904  0.250  0.559  -0.01
Na  0.596  0.750  0.059  -0.01
Co  0.915  0.250  0.897  1.50
Co  0.585  0.750  0.397  1.50
Co  0.415  0.250  0.603  1.50
Co  0.085  0.750  0.103  1.50
Ru  0.086  0.750  0.802  0.65
Ru  0.586  0.750  0.698  0.65
Ru  0.414  0.250  0.302  0.65
Ru  0.914  0.250  0.198  0.65